Record 1
Density functional theory data (PBE-GGA) for PrBe2H8Pd after structural relaxation.

```
PrBe2H8Pd
1.0
4.2447 -2.1344 0.0000
4.2447 2.1344 0.0000
-2.9615 0.0000 6.1992
Pr Be H Pd
1 2 8 1
Direct
0.0000 0.0000 0.0000
0.4115 0.4115 0.2653
0.5885 0.5885 0.7347
0.2053 0.6957 0.6615
0.2614 0.2614 0.2964
0.3043 0.7947 0.3385
0.3534 0.3534 0.0246
0.6466 0.6466 0.9754
0.6957 0.2053 0.6615
0.7386 0.7386 0.7036
0.7947 0.3043 0.3385
0.0000 0.0000 0.5000
```

Symmetry: C2/m



Record 2
Density functional theory data (PBE-GGA) for PuBeH6Pd after structural relaxation.

```
PuBeH6Pd
1.0
4.3536 0.0000 0.0000
-2.1768 3.7703 0.0000
0.0000 0.0000 4.3664
Pu Be H Pd
1 1 6 1
Direct
0.0000 0.0000 0.0000
0.3333 0.6667 0.5000
0.0242 0.5121 0.2259
0.0242 0.5121 0.7741
0.4879 0.5121 0.2259
0.4879 0.5121 0.7741
0.4879 0.9758 0.2259
0.4879 0.9758 0.7741
0.6667 0.3333 0.5000
```

Symmetry: P-6m2



Record 3
Density functional theory data (PBE-GGA) for BeRe2HPd after structural relaxation.

```
BeRe2HPd
1.0
4.1206 0.0000 0.0000
0.0000 4.1206 0.0000
0.0000 0.0000 4.1316
Be Re H Pd
1 2 1 1
Direct
0.0000 0.0000 0.0000
0.0000 0.5000 0.0000
0.5000 0.0000 0.0000
0.5000 0.5000 0.5000
0.0000 0.0000 0.5000
```

Symmetry: P4/mmm



Record 4
Density functional theory data (PBE-GGA) for BeHPdRh2 after structural relaxation.

```
BeHPdRh2
1.0
3.8501 0.0000 0.0000
0.0000 3.8501 0.0000
0.0000 0.0000 3.7481
Be H Pd Rh
1 1 1 2
Direct
0.0000 0.0000 0.0000
0.0000 0.0000 0.5000
0.5000 0.5000 0.0000
0.0000 0.5000 0.5000
0.5000 0.0000 0.5000
```

Symmetry: P4/mmm



no.,VASP energy (eV/atom)
1,-3.858
2,-4.966
3,-5.874
4,-5.440